Cr2SnF8 | GGA+U | relaxed

electronic total energy	-5.572	eV per atom

a = 4.055 Å, b = 6.459 Å, c = 6.463 Å
α = 71.26°, β = 89.40°, γ = 89.50°
Space group P-1 (No. 2)
Inequivalent atoms, fractional coordinates:
Cr 0.247 0.119 0.119
Sn 0.500 0.500 0.500
F 0.244 0.295 0.297
F 0.248 0.854 0.358
F 0.249 0.359 0.856
F 0.252 0.918 0.917